No. 1
This record from Alexandria via LeMat-Bulk describes a crystal of Tc2As2Pb relaxed with PBEsol. The functional is meta-GGA SCAN.

abc: 3.854 3.854 6.538
angles: 107.14 107.14 90.00
Element x y z (fractional)
1 Pb 0.000 0.000 0.000
2 As 0.250 0.750 0.500
3 As 0.750 0.250 0.500
4 Tc 0.381 0.381 0.761
5 Tc 0.619 0.619 0.239

Output
Raw total energy (eV per atom): -37.109
Formation energy (kJ per mole of atoms): 14.26


No. 2
This record from Alexandria via LeMat-Bulk describes a crystal of TcAs2Pb relaxed with PBEsol. The functional is meta-GGA SCAN.

abc: 3.196 4.574 6.441
angles: 106.64 90.00 110.45
Element x y z (fractional)
1 Pb 0.575 0.150 0.499
2 As 0.927 0.855 0.877
3 As 0.777 0.555 0.216
4 Tc 0.221 0.441 0.908

Output
Raw total energy (eV per atom): -37.829
Formation energy (kJ per mole of atoms): -2.28


No. 3
This record from Alexandria via LeMat-Bulk describes a crystal of TcAsPb2 relaxed with PBEsol. The functional is meta-GGA SCAN.

abc: 3.560 4.826 4.826
angles: 90.03 90.00 90.00
Element x y z (fractional)
1 Pb 0.000 0.500 0.000
2 Pb 0.000 0.000 0.500
3 As 0.500 0.500 0.500
4 Tc 0.500 0.000 0.000

Output
Raw total energy (eV per atom): -50.947
Formation energy (kJ per mole of atoms): 72.92


No. 4
This record from Alexandria via LeMat-Bulk describes a crystal of TcAsPb2 relaxed with PBEsol. The functional is meta-GGA SCAN.

abc: 4.457 4.457 5.250
angles: 115.11 115.11 90.00
Element x y z (fractional)
1 Pb 0.000 0.000 0.000
2 Pb 0.750 0.250 0.500
3 As 0.250 0.750 0.500
4 Tc 0.500 0.500 0.000

Output
Raw total energy (eV per atom): -50.898
Formation energy (kJ per mole of atoms): 77.65


No. 5
This record from Alexandria via LeMat-Bulk describes a crystal of TcAsPb2 relaxed with PBEsol. The functional is meta-GGA SCAN.

abc: 3.321 3.321 7.607
angles: 90.00 90.03 90.00
Last column: magnetic moment on the atom in μB.
Element x y z (fractional)
1 Pb 0.000 0.000 0.781  -0.02
2 Pb 0.000 0.000 0.219  -0.02
3 As 0.500 0.500 0.500  0.01
4 Tc 0.500 0.500 0.000  0.79

Output
Raw total energy (eV per atom): -51.005
Formation energy (kJ per mole of atoms): 67.41


No. 6
This record from Alexandria via LeMat-Bulk describes a crystal of TcAs2Pb relaxed with PBEsol. The functional is meta-GGA SCAN.

abc: 3.314 4.767 4.767
angles: 90.00 90.00 90.00
Last column: magnetic moment on the atom in μB.
Element x y z (fractional)
1 Pb 0.500 0.500 0.500  -0.01
2 As 0.000 0.000 0.500  -0.03
3 As 0.000 0.500 0.000  -0.03
4 Tc 0.500 0.000 0.000  2.18

Output
Raw total energy (eV per atom): -37.093
Formation energy (kJ per mole of atoms): 68.76


No. 7
This record from Alexandria via LeMat-Bulk describes a crystal of TeAsPb2 relaxed with PBEsol. The functional is meta-GGA SCAN.

abc: 4.322 4.305 7.629
angles: 106.28 90.00 120.13
Element x y z (fractional)
1 Pb 0.740 0.481 0.722
2 Pb 0.260 0.519 0.278
3 As 0.000 0.000 0.500
4 Te 0.500 0.000 0.000

Output
Relative energy among the computed polymorphs (meV/atom): 0
Raw total energy (eV per atom): -52.361


No. 8
This record from Alexandria via LeMat-Bulk describes a crystal of Te2As2Pb relaxed with PBEsol. The functional is meta-GGA SCAN.

abc: 4.182 4.182 9.066
angles: 103.33 103.33 90.00
Element x y z (fractional)
1 Pb 0.000 0.000 0.000
2 As 0.432 0.432 0.863
3 As 0.568 0.568 0.137
4 Te 0.250 0.750 0.500
5 Te 0.750 0.250 0.500

Output
Raw total energy (eV per atom): -37.886


Among the records above, which one has the lowest raw total energy?
TeAsPb2